(1)
The following is a PBE-GGA calculation of a geometry-optimized Pu2Zn3Au5 structure, from the Alexandria database.

Summary:
E (eV/atom): -5.23
Energy relative to the elements (eV/atom): -0.340
SG: No. 36
Size of the total moment (μB/f.u.): 11.4

Cell and atoms, written as POSCAR:
```
Pu2Zn3Au5
1.0
2.261 -12.634 0.000
2.261 12.634 0.000
0.000 0.000 7.033
Pu Zn Au
4 6 10
Direct
0.018 0.982 0.500
0.324 0.676 0.545
0.676 0.324 0.045
0.982 0.018 0.000
0.113 0.887 0.791
0.279 0.721 0.075
0.451 0.549 0.692
0.549 0.451 0.192
0.721 0.279 0.575
0.887 0.113 0.291
0.102 0.898 0.187
0.205 0.795 0.357
0.216 0.784 0.778
0.382 0.618 0.983
0.448 0.552 0.309
0.552 0.448 0.809
0.618 0.382 0.483
0.784 0.216 0.278
0.795 0.205 0.857
0.898 0.102 0.687
```

=====

(2)
The following is a PBE-GGA calculation of a geometry-optimized Cu2RuSe structure, from the Alexandria database.

Summary:
E (eV/atom): -4.95
SG: No. 25
Size of the total moment (μB/f.u.): 0.0

Cell and atoms, written as POSCAR:
```
Cu2RuSe
1.0
3.050 0.000 0.000
0.000 4.172 0.000
0.000 0.000 4.539
Cu Ru Se
2 1 1
Direct
0.000 0.000 0.000
0.000 0.500 0.299
0.500 0.500 0.805
0.500 0.000 0.531
```

=====

(3)
The following is a PBE-GGA calculation of a geometry-optimized PaZnCo2 structure, from the Alexandria database.

Summary:
E (eV/atom): -6.52
Energy relative to the elements (eV/atom): -0.276
SG: No. 51
Size of the total moment (μB/f.u.): 0.0

Cell and atoms, written as POSCAR:
```
PaZnCo2
1.0
4.918 0.000 0.000
0.000 4.042 0.000
0.000 0.000 6.322
Pa Zn Co
2 2 4
Direct
0.250 0.000 0.241
0.750 0.000 0.759
0.250 0.500 0.871
0.750 0.500 0.129
0.000 0.500 0.500
0.250 0.000 0.652
0.500 0.500 0.500
0.750 0.000 0.348
```

=====

(4)
The following is a PBE-GGA calculation of a geometry-optimized AgRhN2F structure, from the Alexandria database.

Summary:
E (eV/atom): -3.98
Excess energy over the best structure of this formula in the dataset (eV/atom): 1.090
SG: No. 123
Size of the total moment (μB/f.u.): 4.8

Cell and atoms, written as POSCAR:
```
AgRhN2F
1.0
4.044 0.000 0.000
0.000 4.044 0.000
0.000 0.000 4.364
Ag Rh N F
1 1 2 1
Direct
0.000 0.000 0.000
0.500 0.500 0.500
0.000 0.500 0.000
0.500 0.000 0.000
0.000 0.000 0.500
```

=====

(5)
The following is a PBE-GGA calculation of a geometry-optimized BaNa5 structure, from the Alexandria database.

Summary:
E (eV/atom): -1.40
Excess energy over the best structure of this formula in the dataset (eV/atom): 0.000
Energy relative to the elements (eV/atom): 0.019
SG: No. 216
Size of the total moment (μB/f.u.): 0.0

Cell and atoms, written as POSCAR:
```
BaNa5
1.0
0.000 5.014 5.014
5.014 0.000 5.014
5.014 5.014 0.000
Ba Na
1 5
Direct
0.000 0.000 0.000
0.376 0.376 0.376
0.376 0.376 0.873
0.376 0.873 0.376
0.750 0.750 0.750
0.873 0.376 0.376
```

=====

(6)
The following is a PBE-GGA calculation of a geometry-optimized GdHRh3 structure, from the Alexandria database.

Summary:
E (eV/atom): -8.36
SG: No. 221
Size of the total moment (μB/f.u.): 7.2

Cell and atoms, written as POSCAR:
```
GdHRh3
1.0
4.104 0.000 0.000
0.000 4.104 0.000
0.000 0.000 4.104
Gd H Rh
1 1 3
Direct
0.000 0.000 0.000
0.500 0.500 0.500
0.000 0.500 0.500
0.500 0.000 0.500
0.500 0.500 0.000
```

=====

(7)
The following is a PBE-GGA calculation of a geometry-optimized BaTl2Au2 structure, from the Alexandria database.

Summary:
E (eV/atom): -2.90
Excess energy over the best structure of this formula in the dataset (eV/atom): 0.150
Energy relative to the elements (eV/atom): -0.260
SG: No. 127
Size of the total moment (μB/f.u.): 0.0

Cell and atoms, written as POSCAR:
```
BaTl2Au2
1.0
8.274 0.000 0.000
0.000 8.274 0.000
0.000 0.000 4.298
Ba Tl Au
2 4 4
Direct
0.000 0.000 0.000
0.500 0.500 0.000
0.163 0.337 0.500
0.337 0.837 0.500
0.663 0.163 0.500
0.837 0.663 0.500
0.125 0.625 0.000
0.375 0.125 0.000
0.625 0.875 0.000
0.875 0.375 0.000
```

=====

(8)
The following is a PBE-GGA calculation of a geometry-optimized BaSr2CaCd4 structure, from the Alexandria database.

Summary:
E (eV/atom): -1.69
Energy relative to the elements (eV/atom): -0.322
SG: No. 166
Size of the total moment (μB/f.u.): 0.0

Cell and atoms, written as POSCAR:
```
BaSr2CaCd4
1.0
2.870 1.657 9.393
-2.870 1.657 9.393
0.000 -3.314 9.393
Ba Sr Ca Cd
1 2 1 4
Direct
0.000 0.000 0.000
0.248 0.248 0.248
0.752 0.752 0.752
0.500 0.500 0.500
0.128 0.128 0.128
0.380 0.380 0.380
0.620 0.620 0.620
0.872 0.872 0.872
```

=====

Question: Among the records above, which one has the highest E?
Answer: BaNa5

=====

Copy entry 3 word for word.
The following is a PBE-GGA calculation of a geometry-optimized PaZnCo2 structure, from the Alexandria database.

Summary:
E (eV/atom): -6.52
Energy relative to the elements (eV/atom): -0.276
SG: No. 51
Size of the total moment (μB/f.u.): 0.0

Cell and atoms, written as POSCAR:
```
PaZnCo2
1.0
4.918 0.000 0.000
0.000 4.042 0.000
0.000 0.000 6.322
Pa Zn Co
2 2 4
Direct
0.250 0.000 0.241
0.750 0.000 0.759
0.250 0.500 0.871
0.750 0.500 0.129
0.000 0.500 0.500
0.250 0.000 0.652
0.500 0.500 0.500
0.750 0.000 0.348
```